## BaAs2Au (GGA-PBE)

Data for BaAs2Au after structural relaxation.

a = 6.2421 Å, b = 6.2421 Å, c = 6.2421 Å
α = 44.45°, β = 44.45°, γ = 44.45°
Sites, in units of the cell vectors:
As 0.9500 0.9500 0.9500
As 0.5500 0.5500 0.5500
Au 0.2500 0.2500 0.2500
Ba 0.7500 0.7500 0.7500

Computed properties:
* final energy: -4.072 eV per atom
* theoretical density: 7.413 g/cm3
* energy of formation: -448 meV per atom